Pm2Pu3N8 | PBE-GGA | relaxed

```
Pm2Pu3N8
1.0
-5.7394 -3.8005 -0.0812
6.1578 -3.0568 -0.3597
0.2802 -0.6424 10.2573
Pm Pu N
4 6 16
direct
0.6667 0.3333 0.0340 Pm
0.3333 0.6667 0.5340 Pm
0.6667 0.3333 0.3858 Pm
0.3333 0.6667 0.8858 Pm
0.6676 0.8338 0.2445 Pu
0.8338 0.1662 0.7445 Pu
0.1662 0.3324 0.2445 Pu
0.8338 0.6676 0.7445 Pu
0.3324 0.1662 0.7445 Pu
0.1662 0.8338 0.2445 Pu
0.8368 0.1632 0.1668 N
0.6736 0.8368 0.6668 N
0.1632 0.3264 0.6668 N
0.8368 0.6736 0.1668 N
0.3264 0.1632 0.1668 N
0.1632 0.8368 0.6668 N
0.5288 0.4712 0.8565 N
0.0576 0.5288 0.3565 N
0.4712 0.9424 0.3565 N
0.5288 0.0576 0.8565 N
0.0000 0.0000 0.3343 N
0.0000 0.0000 0.8343 N
0.3333 0.6667 0.1364 N
0.9424 0.4712 0.8565 N
0.4712 0.5288 0.3565 N
0.6667 0.3333 0.6364 N
```

The size of the total moment is 6.00 μB per formula unit. For the formation energy from raw total energies, the calculation gives -0.91 eV per atom. The space-group type is P6_3mc. The calculation puts the total energy at -10.0753 eV/atom. The density of states at the Fermi level is 31.760 states/eV/cell.


PmPuN3 | PBE-GGA | relaxed

```
PmPuN3
1.0
-3.1850 3.3787 3.7378
-4.3061 -2.3321 3.3985
3.9396 -1.3202 9.2029
Pm Pu N
4 4 12
direct
0.8889 0.3868 0.8656 Pm
0.6132 0.1111 0.6344 Pm
0.1111 0.6132 0.1344 Pm
0.3868 0.8889 0.3656 Pm
0.0000 0.5000 0.5000 Pu
0.5000 0.0000 0.0000 Pu
0.7498 0.2502 0.2500 Pu
0.2502 0.7498 0.7500 Pu
0.8313 0.8434 0.8495 N
0.1566 0.1687 0.6505 N
0.1687 0.1566 0.1505 N
0.8434 0.8313 0.3495 N
0.6699 0.6548 0.6511 N
0.3452 0.3301 0.8489 N
0.3301 0.3452 0.3489 N
0.6548 0.6699 0.1511 N
0.3108 0.8119 0.9181 N
0.1881 0.6892 0.5819 N
0.8119 0.3108 0.4181 N
0.6892 0.1881 0.0819 N
```

The size of the total moment is 2.00 μB per formula unit. For the formation energy from raw total energies, the calculation gives -1.09 eV per atom. The space-group type is C2/c. The calculation puts the total energy at -9.9049 eV/atom. The density of states at the Fermi level is 15.627 states/eV/cell.


PmPuN3 | PBE-GGA | relaxed

```
PmPuN3
1.0
5.5007 0.0000 0.0000
0.0000 5.9348 0.0000
0.0000 -2.9674 5.1397
Pm Pu N
2 2 6
direct
0.2500 0.6667 0.3333 Pm
0.7500 0.3333 0.6667 Pm
0.7500 0.0000 0.0000 Pu
0.2500 0.0000 0.0000 Pu
0.0000 0.7154 0.7154 N
0.5000 0.7154 0.0000 N
0.5000 0.0000 0.7154 N
0.0000 0.0000 0.2846 N
0.5000 0.2846 0.2846 N
0.0000 0.2846 0.0000 N
```

The size of the total moment is 2.00 μB per formula unit. For the formation energy from raw total energies, the calculation gives -0.73 eV per atom. The space-group type is P6_322. The calculation puts the total energy at -9.5377 eV/atom. The density of states at the Fermi level is 10.085 states/eV/cell.


Pm3Pu4N8 | PBE-GGA | relaxed

```
Pm3Pu4N8
1.0
-6.6661 -0.9963 2.0027
4.1613 -5.5415 -1.2747
4.7265 2.4829 4.5985
Pm Pu N
3 4 8
direct
0.5000 0.5000 0.0000 Pm
0.5000 0.0000 0.5000 Pm
0.5000 0.5000 0.5000 Pm
0.5000 0.0000 0.0000 Pu
0.0000 0.5000 0.0000 Pu
0.0000 0.0000 0.0000 Pu
0.0000 0.0000 0.5000 Pu
0.4270 0.2068 0.2068 N
0.0000 0.7796 0.2204 N
0.9885 0.2184 0.2184 N
0.5000 0.7550 0.2450 N
0.5000 0.2450 0.7550 N
0.0115 0.7816 0.7816 N
0.0000 0.2204 0.7796 N
0.5730 0.7932 0.7932 N
```

The size of the total moment is 7.13 μB per formula unit. For the formation energy from raw total energies, the calculation gives -1.13 eV per atom. The space-group type is C2/m. The calculation puts the total energy at -10.3465 eV/atom. The density of states at the Fermi level is 29.084 states/eV/cell.